(1)
# Ac4In2Ga

A relaxed Ac4In2Ga crystal (GGA-PBE, Alexandria).

a b c (Å): 7.5647 7.4650 9.4352
angles (deg): 90.00 106.75 90.00
With the nearest neighbours (Å) after each atom.
Space group P2_1/m (No. 11)
Unique sites:
Ac1 0.1550 0.0069 0.2823 [4 per cell]  2 Ga 3.22-3.44, 3 In 3.44-3.53
Ac2 0.3216 0.7500 0.6666 [2 per cell]  1 Ga 3.26, 2 In 3.40-3.46
Ac3 0.3275 0.2500 0.9311 [2 per cell]  1 Ga 3.35, 2 In 3.48-3.52
In1 0.1870 0.7500 0.9807 [2 per cell]  6 Ac 3.40-3.53
In2 0.4521 0.2500 0.6041 [2 per cell]  1 Ga 2.69
Ga1 0.0873 0.2500 0.5717 [2 per cell]  1 In 2.69

DFT total energy = -54.48 eV/cell
Energy above the most stable polymorph in this dataset = 0.000 eV/atom
ρ = 7.86 Mg/m³
E_form = -0.329 eV/atom

---

(2)
# PaFeTcMo

A relaxed PaFeTcMo crystal (GGA-PBE, Alexandria).

a b c (Å): 6.4363 6.4363 6.4363
angles (deg): 90.00 90.00 90.00
With the nearest neighbours (Å) after each atom.
Space group F-43m (No. 216)
Unique sites:
Pa1 0.0000 0.0000 0.0000 [4 per cell]  4 Tc 2.79, 4 Mo 2.79
Fe1 0.0000 0.0000 0.5000 [4 per cell]  4 Mo 2.79, 4 Tc 2.79
Tc1 0.2500 0.2500 0.7500 [4 per cell]  4 Fe 2.79, 4 Pa 2.79
Mo1 0.2500 0.2500 0.2500 [4 per cell]  4 Fe 2.79, 4 Pa 2.79

DFT total energy = -154.79 eV/cell
ρ = 11.98 Mg/m³
E_form = 0.115 eV/atom

---

(3)
# Pa3AsS6

A relaxed Pa3AsS6 crystal (GGA-PBE, Alexandria).

a b c (Å): 10.5944 12.6981 6.7997
angles (deg): 90.00 90.00 90.00
With the nearest neighbours (Å) after each atom.
Space group Cmc2_1 (No. 36)
Unique sites:
Pa1 0.0000 0.1013 0.0000 [4 per cell]  7 S 2.66-2.82
Pa2 0.1765 0.4042 0.8830 [8 per cell]  7 S 2.68-2.89
As1 0.0000 0.3587 0.4405 [4 per cell]  3 S 2.47-2.52
S1 0.0000 0.2673 0.7619 [4 per cell]  1 As 2.47, 3 Pa 2.66-2.68
S2 0.0000 0.4838 0.1530 [4 per cell]  2 As 2.47-2.52
S3 0.1610 0.0399 0.6907 [8 per cell]  4 Pa 2.76-2.82
S4 0.1803 0.2280 0.1520 [8 per cell]  3 Pa 2.70-2.89

DFT total energy = -282.33 eV/cell
Formation energy from raw total energies = -1.2680 eV/atom
ρ = 6.97 Mg/m³

---

(4)
# SrSc

A relaxed SrSc crystal (GGA-PBE, Alexandria).

a b c (Å): 6.7806 6.7806 6.7698
angles (deg): 90.00 90.00 90.00
With the nearest neighbours (Å) after each atom.
Space group P4_2/mnm (No. 136)
Unique sites:
Sr1 0.1819 0.1819 0.0000 [4 per cell]  6 Sc 3.39-3.71, 1 Sr 3.49
Sc1 0.1588 0.1588 0.5000 [4 per cell]  1 Sc 3.05, 4 Sr 3.39-3.41

DFT total energy = -26.28 eV/cell
Energy above the most stable polymorph in this dataset = 0.527 eV/atom
ρ = 2.83 Mg/m³
E_form = 0.721 eV/atom

---

(5)
# YMnCl2

A relaxed YMnCl2 crystal (GGA-PBE, Alexandria).

a b c (Å): 3.6345 3.6345 22.8355
angles (deg): 90.00 90.00 120.00
With the nearest neighbours (Å) after each atom.
Space group R-3m (No. 166, hexagonal axes)
Unique sites:
Y1 0.0000 0.0000 0.0000 [3 per cell]  2 Cl 2.70
Mn1 0.0000 0.0000 0.5000 [3 per cell]  6 Cl 2.37
Cl1 0.0000 0.0000 0.1184 [6 per cell]  3 Mn 2.37

DFT total energy = -60.11 eV/cell
Energy above the most stable polymorph in this dataset = 0.779 eV/atom
Formation energy from raw total energies = -0.1778 eV/atom
ρ = 4.10 Mg/m³

---

(6)
# Ho2MgSc3

A relaxed Ho2MgSc3 crystal (GGA-PBE, Alexandria).

a b c (Å): 8.3720 9.1491 8.4635
angles (deg): 90.00 102.42 90.00
With the nearest neighbours (Å) after each atom.
Space group C2/c (No. 15)
Unique sites:
Ho1 0.1269 0.2443 0.1293 [8 per cell]  2 Ho 3.25-3.32, 3 Mg 3.42-3.54, 9 Sc 3.42-3.50
Mg1 0.0000 0.4196 0.7500 [4 per cell]  5 Sc 3.01-3.27
Sc1 0.0000 0.0907 0.7500 [4 per cell]  1 Mg 3.01, 4 Sc 3.08-3.29
Sc2 0.2484 0.4183 0.5003 [8 per cell]  2 Mg 3.02-3.27, 3 Sc 3.08-3.29

DFT total energy = -117.97 eV/cell
Energy above the most stable polymorph in this dataset = 0.000 eV/atom
ρ = 5.13 Mg/m³
E_form = 0.042 eV/atom

---

(7)
# BeHg

A relaxed BeHg crystal (GGA-PBE, Alexandria).

a b c (Å): 6.7621 6.7621 6.7621
angles (deg): 90.00 90.00 90.00
With the nearest neighbours (Å) after each atom.
Space group Pm-3n (No. 223)
Unique sites:
Be1 0.0000 0.2500 0.5000 [6 per cell]  4 Hg 2.39
Hg1 0.0000 0.5000 0.2500 [6 per cell]  4 Be 2.39

DFT total energy = -14.41 eV/cell
Energy above the most stable polymorph in this dataset = 0.518 eV/atom
ρ = 6.75 Mg/m³
E_form = 0.813 eV/atom

---

(8)
# PaInTe

A relaxed PaInTe crystal (GGA-PBE, Alexandria).

a b c (Å): 5.1738 5.1738 3.7043
angles (deg): 90.00 90.00 120.00
With the nearest neighbours (Å) after each atom.
Space group P-6m2 (No. 187)
Unique sites:
Pa1 0.0000 0.0000 0.0000 [1 per cell]  3 Te 2.99
In1 0.3333 0.6667 0.5000 [1 per cell]  6 Pa 3.51, 6 Te 3.51, 2 In 3.70
Te1 0.6667 0.3333 0.0000 [1 per cell]  3 Pa 2.99

DFT total energy = -15.54 eV/cell
Energy above the most stable polymorph in this dataset = 0.432 eV/atom
Formation energy from raw total energies = -0.0555 eV/atom
ρ = 9.16 Mg/m³

---

(9)
# Nd3CdNi2

A relaxed Nd3CdNi2 crystal (GGA-PBE, Alexandria).

a b c (Å): 4.1405 9.7764 7.4370
angles (deg): 90.00 90.00 90.00
With the nearest neighbours (Å) after each atom.
Space group Pmc2_1 (No. 26)
Unique sites:
Nd1 0.0000 0.0497 0.0000 [2 per cell]  6 Ni 2.80-3.02
Nd2 0.5000 0.2619 0.3871 [2 per cell]  3 Ni 2.91-3.19
Nd3 0.5000 0.3319 0.8686 [2 per cell]  3 Ni 2.87-2.90
Cd1 0.0000 0.4965 0.1250 [2 per cell]  1 Ni 2.87
Ni1 0.0000 0.2111 0.6543 [2 per cell]  2 Ni 2.61, 5 Nd 2.80-2.91, 1 Cd 2.87
Ni2 0.5000 0.0572 0.7203 [2 per cell]  2 Ni 2.61, 3 Nd 2.84-2.90

DFT total energy = -56.78 eV/cell
ρ = 7.31 Mg/m³
E_form = -0.268 eV/atom

---

(10)
# LiEr4Rh2

A relaxed LiEr4Rh2 crystal (GGA-PBE, Alexandria).

a b c (Å): 4.8448 4.8448 23.4483
angles (deg): 90.00 90.00 120.00
With the nearest neighbours (Å) after each atom.
Space group R-3m (No. 166, hexagonal axes)
Unique sites:
Li1 0.0000 0.0000 0.0000 [3 per cell]  8 Er 2.99-3.01
Er1 0.0000 0.0000 0.1282 [6 per cell]  4 Rh 2.92-3.01, 1 Li 3.01
Er2 0.0000 0.0000 0.3789 [6 per cell]  4 Rh 2.92-2.96, 3 Li 2.99
Rh1 0.0000 0.0000 0.2525 [6 per cell]  8 Er 2.92-3.01

DFT total energy = -116.59 eV/cell
Energy above the most stable polymorph in this dataset = 0.000 eV/atom
ρ = 9.22 Mg/m³
E_form = -0.571 eV/atom

---

(11)
# NdBi2Au

A relaxed NdBi2Au crystal (GGA-PBE, Alexandria).

a b c (Å): 5.1903 5.1903 23.7699
angles (deg): 90.00 90.00 120.00
With the nearest neighbours (Å) after each atom.
Space group R-3m (No. 166, hexagonal axes)
Unique sites:
Nd1 0.0000 0.0000 0.0000 [3 per cell]  6 Bi 3.25
Bi1 0.0000 0.0000 0.3865 [6 per cell]  1 Au 2.70
Au1 0.0000 0.0000 0.5000 [3 per cell]  2 Bi 2.70

DFT total energy = -46.22 eV/cell
ρ = 6.82 Mg/m³
E_form = 0.100 eV/atom

---

(12)
# Pr2CoNi

A relaxed Pr2CoNi crystal (GGA-PBE, Alexandria).

a b c (Å): 3.4987 3.4987 7.0693
angles (deg): 90.00 90.00 90.00
With the nearest neighbours (Å) after each atom.
Space group P4/mmm (No. 123)
Unique sites:
Pr1 0.0000 0.0000 0.2475 [2 per cell]  4 Co 3.03, 4 Ni 3.05
Co1 0.5000 0.5000 0.0000 [1 per cell]  8 Pr 3.03
Ni1 0.5000 0.5000 0.5000 [1 per cell]  8 Pr 3.05

DFT total energy = -22.66 eV/cell
Energy above the most stable polymorph in this dataset = 0.110 eV/atom
ρ = 7.67 Mg/m³
E_form = -0.054 eV/atom

---

(13)
# Cd2GeTe2

A relaxed Cd2GeTe2 crystal (GGA-PBE, Alexandria).

a b c (Å): 8.2106 8.2106 4.1665
angles (deg): 90.00 90.00 90.00
With the nearest neighbours (Å) after each atom.
Space group P4/mbm (No. 127)
Unique sites:
Cd1 0.1257 0.3743 0.0000 [4 per cell]  1 Cd 2.92, 2 Te 2.96
Ge1 0.0000 0.0000 0.5000 [2 per cell]  4 Te 2.98
Te1 0.1929 0.6929 0.5000 [4 per cell]  2 Cd 2.96, 2 Ge 2.98

DFT total energy = -25.11 eV/cell
Formation energy from raw total energies = 0.0351 eV/atom
ρ = 6.53 Mg/m³

---

(14)
# MnHg2Cl4

A relaxed MnHg2Cl4 crystal (GGA-PBE, Alexandria).

a b c (Å): 4.9446 4.9446 15.0371
angles (deg): 90.00 90.00 90.00
With the nearest neighbours (Å) after each atom.
Space group I4/mmm (No. 139)
Unique sites:
Mn1 0.0000 0.0000 0.0000 [2 per cell]  6 Cl 2.36-2.47
Hg1 0.0000 0.0000 0.3485 [4 per cell]  1 Cl 2.88
Cl1 0.0000 0.0000 0.1570 [4 per cell]  1 Mn 2.36
Cl2 0.0000 0.5000 0.0000 [4 per cell]  2 Mn 2.47

DFT total energy = -41.39 eV/cell
Formation energy from raw total energies = -0.5048 eV/atom
ρ = 5.40 Mg/m³

---

(15)
# Na2Bi2I

A relaxed Na2Bi2I crystal (GGA-PBE, Alexandria).

a b c (Å): 6.3551 6.3551 9.5620
angles (deg): 90.00 90.00 90.00
With the nearest neighbours (Å) after each atom.
Space group I4/mmm (No. 139)
Unique sites:
Na1 0.0000 0.5000 0.2500 [4 per cell]  4 Bi 3.32
Bi1 0.0000 0.0000 0.1506 [4 per cell]  1 Bi 2.88
I1 0.0000 0.0000 0.5000 [2 per cell]  2 Bi 3.34

DFT total energy = -25.17 eV/cell
Energy above the most stable polymorph in this dataset = 0.363 eV/atom
Formation energy from raw total energies = -0.1267 eV/atom
ρ = 5.08 Mg/m³

---

(16)
# Li2HoTm2In5

A relaxed Li2HoTm2In5 crystal (GGA-PBE, Alexandria).

a b c (Å): 10.2726 10.2726 4.3778
angles (deg): 90.00 90.00 90.00
With the nearest neighbours (Å) after each atom.
Space group P4/mbm (No. 127)
Unique sites:
Li1 0.1203 0.3797 0.0000 [4 per cell]  6 In 2.80-2.83, 3 Tm 2.98-3.08
Ho1 0.0000 0.0000 0.0000 [2 per cell]  8 In 3.18
Tm1 0.1743 0.6743 0.0000 [4 per cell]  3 Li 2.98-3.08
In1 0.0000 0.5000 0.5000 [2 per cell]  4 Li 2.80, 4 In 3.07
In2 0.0756 0.2111 0.5000 [8 per cell]  2 Li 2.83, 2 In 3.07-3.10

DFT total energy = -68.90 eV/cell
ρ = 7.84 Mg/m³
E_form = -0.341 eV/atom

---

(17)
# Ba5Bi2I

A relaxed Ba5Bi2I crystal (GGA-PBE, Alexandria).

a b c (Å): 8.4614 8.4614 9.9186
angles (deg): 90.00 90.00 90.00
With the nearest neighbours (Å) after each atom.
Space group I4mm (No. 107)
Unique sites:
Ba1 0.0000 0.0000 0.0000 [2 per cell]  1 I 3.71, 8 Ba 3.81-4.00
Ba2 0.2360 0.2360 0.7144 [8 per cell]  1 I 3.54, 2 Bi 3.78, 1 Ba 3.81
Bi1 0.0000 0.5000 0.4822 [4 per cell]  8 Ba 3.78-4.00
I1 0.0000 0.0000 0.3745 [2 per cell]  5 Ba 3.54-3.71

DFT total energy = -49.03 eV/cell
Formation energy from raw total energies = -0.6988 eV/atom
ρ = 5.76 Mg/m³

---

(18)
# YZr3Co8

A relaxed YZr3Co8 crystal (GGA-PBE, Alexandria).

a b c (Å): 4.9344 4.9344 24.2089
angles (deg): 90.00 90.00 120.00
With the nearest neighbours (Å) after each atom.
Space group R3m (No. 160, hexagonal axes)
Unique sites:
Y1 0.0000 0.0000 0.0000 [3 per cell]  12 Co 2.89-2.93, 4 Zr 3.03-3.06
Zr1 0.0000 0.0000 0.1262 [3 per cell]  12 Co 2.83-2.89, 3 Zr 3.02, 1 Y 3.06
Zr2 0.0000 0.0000 0.5003 [3 per cell]  12 Co 2.86-2.89, 4 Zr 2.99-3.02
Zr3 0.0000 0.0000 0.6237 [3 per cell]  12 Co 2.90-2.97, 1 Zr 2.99, 3 Y 3.03
Co1 0.0000 0.0000 0.3125 [3 per cell]  6 Co 2.49-2.50
Co2 0.0000 0.0000 0.8128 [3 per cell]  6 Co 2.44
Co3 0.0021 0.5011 0.0644 [9 per cell]  6 Co 2.44-2.50
Co4 0.1680 0.3359 0.8943 [9 per cell]  6 Co 2.44-2.49

DFT total energy = -276.27 eV/cell
ρ = 8.14 Mg/m³
E_form = -0.261 eV/atom

---

(19)
# NaHoMgAg

A relaxed NaHoMgAg crystal (GGA-PBE, Alexandria).

a b c (Å): 7.1981 7.1981 7.1981
angles (deg): 90.00 90.00 90.00
With the nearest neighbours (Å) after each atom.
Space group F-43m (No. 216)
Unique sites:
Na1 0.0000 0.0000 0.0000 [4 per cell]  4 Ho 3.12, 4 Mg 3.12
Ho1 0.2500 0.2500 0.7500 [4 per cell]  4 Na 3.12, 4 Ag 3.12
Mg1 0.2500 0.2500 0.2500 [4 per cell]  4 Na 3.12, 4 Ag 3.12
Ag1 0.0000 0.0000 0.5000 [4 per cell]  4 Ho 3.12, 4 Mg 3.12

DFT total energy = -40.98 eV/cell
ρ = 5.70 Mg/m³
E_form = 0.024 eV/atom

---

(20)
# Y2CuPb

A relaxed Y2CuPb crystal (GGA-PBE, Alexandria).

a b c (Å): 7.4277 7.4277 7.4277
angles (deg): 90.00 90.00 90.00
With the nearest neighbours (Å) after each atom.
Space group F-43m (No. 216)
Unique sites:
Y1 0.0000 0.0000 0.0000 [4 per cell]  4 Y 3.22, 4 Pb 3.22
Y2 0.2500 0.2500 0.2500 [4 per cell]  4 Cu 3.22, 4 Y 3.22
Cu1 0.0000 0.0000 0.5000 [4 per cell]  4 Pb 3.22, 4 Y 3.22
Pb1 0.2500 0.2500 0.7500 [4 per cell]  4 Cu 3.22, 4 Y 3.22

DFT total energy = -79.77 eV/cell
ρ = 7.27 Mg/m³
E_form = 0.198 eV/atom